Entry from the Alexandria database: crystalline La12Er6Th at its relaxed geometry (PBE).

The value obtained for the density of states at the Fermi level is 34.345 states/eV/f.u. The formation energy comes out at 0.032 eV/atom. As for the magnetization: 0.01 Bohr magnetons per cell. The value obtained for the total energy is -279.97 eV/cell.

The space group is R-3 (No. 148, hexagonal axes) and the conventional cell measures 15.9858, 15.9858 and 8.9378 Å, with angles of 90.00, 90.00 and 120.00 degrees. The inequivalent atoms are La at (0.0361, 0.7569, 0.3389), La at (0.0749, 0.5105, 0.6660), Er at (0.0166, 0.8820, 0.6679) and Th at (0.0000, 0.0000, 0.0000).

Entry from the Alexandria database: crystalline La2ErTh4 at its relaxed geometry (PBE).

The value obtained for the density of states at the Fermi level is 11.660 states/eV/f.u. The formation energy comes out at 0.058 eV/atom. As for the magnetization: 0.00 Bohr magnetons per cell. The value obtained for the total energy is -87.38 eV/cell.

The space group is Cmmm (No. 65) and the conventional cell measures 3.5780, 36.7382 and 3.5854 Å, with angles of 90.00, 90.00 and 90.00 degrees. The inequivalent atoms are La at (0.0000, 0.2037, 0.0000), Er at (0.0000, 0.5000, 0.5000), Th at (0.0000, 0.0690, 0.0000) and Th at (0.0000, 0.3647, 0.5000).

Entry from the Alexandria database: crystalline La12ErTh7 at its relaxed geometry (PBE).

The value obtained for the density of states at the Fermi level is 43.498 states/eV/f.u. The formation energy comes out at 0.793 eV/atom. As for the magnetization: 3.94 Bohr magnetons per cell. The value obtained for the total energy is -199.52 eV/cell.

The space group is Im-3 (No. 204) and the conventional cell measures 11.7361, 11.7361 and 11.7361 Å, with angles of 90.00, 90.00 and 90.00 degrees. The inequivalent atoms are La at (0.0000, 0.2173, 0.3071), Er at (0.0000, 0.0000, 0.0000), Th at (0.0000, 0.0000, 0.5000) and Th at (0.2500, 0.2500, 0.2500).

- The lowest density of states at the Fermi level belongs to which entry?
  La2ErTh4